Ge2PtO | Alexandria via LeMat-Bulk | PBE | relaxed; crystal system = tetragonal; uncorrected energy = -5.52 eV/atom; energy relative to the elements, uncorrected = -44.51 kJ/mol of atoms
1.0
5.434 0.000 0.000
0.000 5.434 0.000
0.000 0.000 9.814
Ge Pt O
8 4 4
Cartesian
1.134 1.359 1.227
1.359 3.851 3.680
1.359 4.300 8.587
1.583 1.359 6.134
3.851 4.076 6.134
4.076 1.134 8.587
4.076 1.583 3.680
4.300 4.076 1.227
0.000 0.000 4.907
0.000 2.717 7.361
2.717 0.000 2.454
2.717 2.717 0.000
0.000 0.000 0.000
0.000 2.717 2.454
2.717 0.000 7.361
2.717 2.717 4.907